PBEsol TlNiPt4, optimized geometry; DFT formation energy = 0.2859 eV/atom
1.0
5.226 0.000 0.000
2.613 4.526 0.000
2.613 1.509 4.267
Pt Ni Tl
4 1 1
Cartesian
5.226 3.018 3.739 Pt
6.538 2.261 1.598 Pt
3.915 2.261 1.598 Pt
5.226 4.531 1.598 Pt
0.000 0.000 0.000 Ni
7.840 4.526 3.201 Tl